VOF PBE with a Hubbard U optimized geometry; final energy = -7.159 eV/atom
1.0
3.104 0.000 0.000
0.000 4.738 -0.002
0.000 0.427 14.222
F O V
6 6 6
Direct
0.000 0.319 0.894
0.500 0.822 0.601
0.500 0.768 0.267
0.500 0.178 0.399
0.000 0.681 0.106
0.500 0.232 0.733
0.000 0.687 0.433
0.000 0.313 0.567
0.000 0.261 0.234
0.000 0.739 0.766
0.500 0.188 0.064
0.500 0.812 0.936
0.500 0.500 0.500
0.000 0.000 0.000
0.500 0.571 0.833
0.500 0.429 0.167
0.000 0.972 0.333
0.000 0.028 0.667